# 1
Here is an optimized crystal structure of Na4Cd4Pd from Alexandria. Energies are from PBE.

a b c (Å): 5.9581 5.9581 13.1756
angles (deg): 90.00 90.00 90.00
Space group I-42m (No. 121)
Unique sites:
Na 0.1987 0.1987 0.0895 x8
Cd 0.1907 0.1907 0.3242 x8
Pd 0.0000 0.0000 0.5000 x2

Calculated values
ρ	4.6	g cm⁻³
distance to the lowest polymorph of the same formula	0.00	eV per formula unit
E_form	-41.7	meV per atom
total magnetic moment	0.0	μB/cell


# 2
Here is an optimized crystal structure of La3HgN from Alexandria. Energies are from PBE.

a b c (Å): 5.5084 5.4950 8.6748
angles (deg): 90.00 90.11 90.00
Space group C2/m (No. 12)
Unique sites:
La 0.0000 0.0000 0.0000 x2
La 0.0002 0.5000 0.2721 x4
Hg 0.0000 0.0000 0.5000 x2
N 0.0000 0.5000 0.0000 x2

Calculated values
total energy	-5.443	eV/atom
ρ	8.0	g cm⁻³
total magnetic moment	0.0	μB/cell


# 3
Here is an optimized crystal structure of Ga2CuBIr from Alexandria. Energies are from PBE.

a b c (Å): 4.5968 4.5968 3.6787
angles (deg): 90.00 90.00 90.00
Space group P4/mmm (No. 123)
Unique sites:
Ga 0.0000 0.5000 0.0000 x2
Cu 0.0000 0.0000 0.0000 x1
B 0.0000 0.0000 0.5000 x1
Ir 0.5000 0.5000 0.5000 x1

Calculated values
ρ	8.7	g cm⁻³
E_form	899.6	meV per atom
total magnetic moment	0.3	μB/cell


# 4
Here is an optimized crystal structure of PrSiPdRh from Alexandria. Energies are from PBE.

a b c (Å): 4.2796 4.0034 9.9172
angles (deg): 90.00 90.00 90.00
Space group Amm2 (No. 38)
Unique sites:
Pr 0.0000 0.0000 0.0000 x2
Si 0.5000 0.0000 0.6155 x2
Pd 0.0000 0.0000 0.7229 x2
Rh 0.5000 0.0000 0.2394 x2

Calculated values
total energy	-6.247	eV/atom
ρ	7.4	g cm⁻³
total magnetic moment	0.0	μB/cell


# 5
Here is an optimized crystal structure of LiZn4Cd8 from Alexandria. Energies are from PBE.

a b c (Å): 10.0444 10.0444 5.2629
angles (deg): 90.00 90.00 90.00
Space group I4/mmm (No. 139)
Unique sites:
Li 0.0000 0.0000 0.0000 x2
Zn 0.2500 0.2500 0.2500 x8
Cd 0.0000 0.2058 0.5000 x8
Cd 0.0000 0.3467 0.0000 x8

Calculated values
ρ	7.3	g cm⁻³
E_form	1.6	meV per atom
total magnetic moment	0.0	μB/cell


# 6
Here is an optimized crystal structure of AcErBr from Alexandria. Energies are from PBE.

a b c (Å): 6.5972 3.8063 8.7036
angles (deg): 90.00 110.59 90.00
Space group P2_1/m (No. 11)
Unique sites:
Ac 0.1875 0.2500 0.2005 x2
Er 0.3455 0.2500 0.8376 x2
Br 0.2757 0.7500 0.5529 x2

Calculated values
total energy	-4.154	eV/atom
ρ	7.7	g cm⁻³
total magnetic moment	0.0	μB/cell


# 7
Here is an optimized crystal structure of SiTeCl2 from Alexandria. Energies are from PBE.

a b c (Å): 14.1133 3.4148 5.7230
angles (deg): 90.00 98.84 90.00
Space group Cm (No. 8)
Unique sites:
Si 0.0000 0.0000 0.0000 x2
Te 0.3439 0.0000 0.9329 x2
Cl 0.0307 0.5000 0.7017 x2
Cl 0.2765 0.5000 0.2405 x2

Calculated values
ρ	2.8	g cm⁻³
distance to the lowest polymorph of the same formula	1.18	eV per formula unit
total magnetic moment	0.0	μB/cell


# 8
Here is an optimized crystal structure of Nb2Ni3Ge from Alexandria. Energies are from PBE.

a b c (Å): 5.4004 8.4138 14.5903
angles (deg): 90.00 90.00 90.00
Space group Fmmm (No. 69)
Unique sites:
Nb 0.2430 0.0000 0.0000 x8
Nb 0.2500 0.2500 0.2500 x8
Ni 0.0000 0.0000 0.1681 x8
Ni 0.0000 0.2474 0.4161 x16
Ge 0.0000 0.0000 0.3345 x8

Calculated values
ρ	8.7	g cm⁻³
E_form	-314.4	meV per atom
total magnetic moment	0.0	μB/cell


# 9
Here is an optimized crystal structure of KMg2V from Alexandria. Energies are from PBE.

a b c (Å): 7.5804 7.5804 7.5804
angles (deg): 90.00 90.00 90.00
Space group Fm-3m (No. 225)
Unique sites:
K 0.0000 0.0000 0.0000 x4
Mg 0.2500 0.2500 0.2500 x8
V 0.0000 0.0000 0.5000 x4

Calculated values
ρ	2.1	g cm⁻³
distance to the lowest polymorph of the same formula	0.00	eV per formula unit
E_form	732.9	meV per atom
total magnetic moment	16.6	μB/cell


# 10
Here is an optimized crystal structure of LiTeO2 from Alexandria. Energies are from PBE.

a b c (Å): 3.6595 3.6595 16.4693
angles (deg): 90.00 90.00 120.00
Space group R-3m (No. 166, hexagonal axes)
Unique sites:
Li 0.0000 0.0000 0.0000 x3
Te 0.0000 0.0000 0.5000 x3
O 0.0000 0.0000 0.1091 x6

Calculated values
total energy	-4.641	eV/atom
ρ	4.3	g cm⁻³
total magnetic moment	0.0	μB/cell


# 11
Here is an optimized crystal structure of TmCdInPb from Alexandria. Energies are from PBE.

a b c (Å): 4.5360 4.6505 4.8049
angles (deg): 90.00 90.00 90.00
Space group Pmmm (No. 47)
Unique sites:
Tm 0.0000 0.0000 0.0000 x1
Cd 0.0000 0.5000 0.5000 x1
In 0.5000 0.0000 0.5000 x1
Pb 0.5000 0.5000 0.0000 x1

Calculated values
ρ	9.9	g cm⁻³
distance to the lowest polymorph of the same formula	0.00	eV per formula unit
E_form	-300.5	meV per atom
total magnetic moment	0.0	μB/cell


# 12
Here is an optimized crystal structure of Al5CdAg8 from Alexandria. Energies are from PBE.

a b c (Å): 7.7658 7.7658 8.5133
angles (deg): 90.00 90.00 90.00
Space group I-4 (No. 82)
Unique sites:
Al 0.0000 0.0000 0.0000 x2
Al 0.1249 0.2126 0.5778 x8
Cd 0.0000 0.5000 0.2500 x2
Ag 0.0709 0.3307 0.9191 x8
Ag 0.1057 0.1549 0.2571 x8

Calculated values
ρ	7.2	g cm⁻³
E_form	54.2	meV per atom
total magnetic moment	0.0	μB/cell


Copy entry 7 word for word.
Here is an optimized crystal structure of SiTeCl2 from Alexandria. Energies are from PBE.

a b c (Å): 14.1133 3.4148 5.7230
angles (deg): 90.00 98.84 90.00
Space group Cm (No. 8)
Unique sites:
Si 0.0000 0.0000 0.0000 x2
Te 0.3439 0.0000 0.9329 x2
Cl 0.0307 0.5000 0.7017 x2
Cl 0.2765 0.5000 0.2405 x2

Calculated values
ρ	2.8	g cm⁻³
distance to the lowest polymorph of the same formula	1.18	eV per formula unit
total magnetic moment	0.0	μB/cell


Please write out number 6 again, unchanged.
Here is an optimized crystal structure of AcErBr from Alexandria. Energies are from PBE.

a b c (Å): 6.5972 3.8063 8.7036
angles (deg): 90.00 110.59 90.00
Space group P2_1/m (No. 11)
Unique sites:
Ac 0.1875 0.2500 0.2005 x2
Er 0.3455 0.2500 0.8376 x2
Br 0.2757 0.7500 0.5529 x2

Calculated values
total energy	-4.154	eV/atom
ρ	7.7	g cm⁻³
total magnetic moment	0.0	μB/cell


Question: Which value of ρ does entry 8 give?
Answer: 8.7 g cm⁻³